Pr2Zn5Cu | GGA-PBE | relaxed

Cell lengths 6.789, 6.789, 6.789 Å; angles 71.97, 130.90, 130.90 degrees
Element x y z (fractional)
Pr (0.500, 0.213, 0.713)
Zn (0.510, 0.721, 0.721)
Zn (0.490, 0.211, 0.211)
Zn (0.000, 0.211, 0.721)
Zn (0.000, 0.328, 0.328)
Zn (0.000, 0.721, 0.211)
Cu (0.000, 0.105, 0.105)
Pr (0.500, 0.713, 0.213)

Computed properties:
Calculated density (g cm⁻³): 6.4
ΔE_f (kJ/mol of atoms): -16.10
Space-group type: I4mm
Energy above the lowest structure with this stoichiometry (kJ/mol of formula units): 91